## Er6CuRh2 (PBE)

Data for a relaxed structure of Er6CuRh2.

Cell: 9.2462 9.3408 10.1022 Å, 90.00 90.00 90.00°
Space group Immm (No. 71)
Inequivalent atoms, fractional coordinates:
Er  0.0000  0.1896  0.2429
Er  0.1934  0.5000  0.1705
Er  0.2244  0.3236  0.5000
Cu  0.0000  0.0000  0.0000
Cu  0.0000  0.0000  0.5000
Rh  0.0000  0.3293  0.0000
Rh  0.0000  0.5000  0.3683

Summary:
The volume is 873 Å³ per cell. The calculation puts the density of states at the Fermi level at 37.76 states/eV/cell. The formation enthalpy at 0 K is -0.494 eV per atom.

***

## ErCuSbRh (PBE)

Data for a relaxed structure of ErCuSbRh.

Cell: 6.6287 6.6287 6.6287 Å, 90.00 90.00 90.00°
Space group F-43m (No. 216)
Inequivalent atoms, fractional coordinates:
Er  0.0000  0.0000  0.0000
Cu  0.2500  0.2500  0.2500
Sb  0.0000  0.0000  0.5000
Rh  0.2500  0.2500  0.7500

Summary:
The volume is 291 Å³ per cell. Its uncorrected formation energy is -0.55 eV/atom. The calculation puts the density of states at the Fermi level at 5.46 states/eV/cell.

***

## Er2Cu2SbRh5 (PBE)

Data for a relaxed structure of Er2Cu2SbRh5.

Cell: 9.3631 9.3631 3.8004 Å, 90.00 90.00 90.00°
Space group P4/mbm (No. 127)
Inequivalent atoms, fractional coordinates:
Er  0.1728  0.3272  0.0000
Cu  0.1232  0.6232  0.0000
Sb  0.0000  0.0000  0.0000
Rh  0.0000  0.5000  0.5000
Rh  0.0706  0.7925  0.5000

Summary:
The volume is 333 Å³ per cell. Its uncorrected formation energy is -0.57 eV/atom. The calculation puts the density of states at the Fermi level at 17.85 states/eV/cell.

***

## ErScCuRh (PBE)

Data for a relaxed structure of ErScCuRh.

Cell: 6.6797 6.6797 6.6797 Å, 90.00 90.00 90.00°
Space group F-43m (No. 216)
Inequivalent atoms, fractional coordinates:
Er  0.0000  0.0000  0.0000
Sc  0.0000  0.0000  0.5000
Cu  0.2500  0.2500  0.7500
Rh  0.2500  0.2500  0.2500

Summary:
The volume is 298 Å³ per cell. The calculation puts the density of states at the Fermi level at 15.28 states/eV/cell. The formation enthalpy at 0 K is -0.602 eV per atom.

***

## Er3CuSi6Rh2 (PBE)

Data for a relaxed structure of Er3CuSi6Rh2.

Cell: 5.2476 5.2476 8.8603 Å, 90.00 90.00 120.00°
Space group P-3m1 (No. 164)
Inequivalent atoms, fractional coordinates:
Er  0.0000  0.0000  0.0000
Er  0.3333  0.6667  0.5782
Cu  0.0000  0.0000  0.5000
Si  0.1677  0.3354  0.2764
Rh  0.3333  0.6667  0.0661

Summary:
The volume is 211 Å³ per cell. Its uncorrected formation energy is -0.47 eV/atom. The calculation puts the density of states at the Fermi level at 2.60 states/eV/cell.

***

## Er2CuSi4Rh3 (PBE)

Data for a relaxed structure of Er2CuSi4Rh3.

Cell: 4.0753 4.0753 9.9124 Å, 90.00 90.00 90.00°
Space group P-4m2 (No. 115)
Inequivalent atoms, fractional coordinates:
Er  0.0000  0.5000  0.2463
Cu  0.0000  0.0000  0.5000
Si  0.0000  0.0000  0.0000
Si  0.0000  0.5000  0.6326
Si  0.5000  0.5000  0.0000
Rh  0.0000  0.5000  0.8713
Rh  0.5000  0.5000  0.5000

Summary:
The volume is 165 Å³ per cell. Its uncorrected formation energy is -0.89 eV/atom. The calculation puts the density of states at the Fermi level at 5.75 states/eV/cell.

***

## ErCuSn2Rh4 (PBE)

Data for a relaxed structure of ErCuSn2Rh4.

Cell: 4.5295 4.5295 22.4831 Å, 90.00 90.00 120.00°
Space group R-3m (No. 166, hexagonal axes)
Inequivalent atoms, fractional coordinates:
Er  0.0000  0.0000  0.0000
Cu  0.0000  0.0000  0.5000
Sn  0.0000  0.0000  0.2457
Rh  0.0000  0.0000  0.1263
Rh  0.0000  0.0000  0.3819

Summary:
The volume is 399 Å³ per cell. The calculation puts the density of states at the Fermi level at 12.56 states/eV/cell. The formation enthalpy at 0 K is -0.579 eV per atom.

***

## ErCuSnRh (PBE)

Data for a relaxed structure of ErCuSnRh.

Cell: 6.6344 6.6344 6.6344 Å, 90.00 90.00 90.00°
Space group F-43m (No. 216)
Inequivalent atoms, fractional coordinates:
Er  0.0000  0.0000  0.0000
Cu  0.2500  0.2500  0.7500
Sn  0.0000  0.0000  0.5000
Rh  0.2500  0.2500  0.2500

Summary:
The volume is 292 Å³ per cell. The calculation puts the density of states at the Fermi level at 11.73 states/eV/cell. The formation enthalpy at 0 K is -0.561 eV per atom.

***

## Er2Cu2SnRh5 (PBE)

Data for a relaxed structure of Er2Cu2SnRh5.

Cell: 9.3392 9.3392 3.8293 Å, 90.00 90.00 90.00°
Space group P4/mbm (No. 127)
Inequivalent atoms, fractional coordinates:
Er  0.1737  0.3263  0.0000
Cu  0.1224  0.6224  0.0000
Sn  0.0000  0.0000  0.0000
Rh  0.0000  0.5000  0.5000
Rh  0.0712  0.7922  0.5000

Summary:
The volume is 334 Å³ per cell. The calculation puts the density of states at the Fermi level at 20.84 states/eV/cell. The formation enthalpy at 0 K is -0.554 eV per atom.

***

## TbErCuRh (PBE)

Data for a relaxed structure of TbErCuRh.

Cell: 4.3762 3.7557 10.3473 Å, 90.00 90.00 90.00°
Space group Amm2 (No. 38)
Inequivalent atoms, fractional coordinates:
Tb  0.0000  0.0000  0.0000
Er  0.5000  0.0000  0.2782
Cu  0.5000  0.0000  0.5653
Rh  0.0000  0.0000  0.7226

Summary:
The volume is 170 Å³ per cell. The calculation puts the relative energy among the computed polymorphs at 0.0 meV/atom. The calculation puts the density of states at the Fermi level at 5.59 states/eV/cell. The formation enthalpy at 0 K is -0.592 eV per atom.

***

## TbErCuRh (PBE)

Data for a relaxed structure of TbErCuRh.

Cell: 6.8882 6.8882 6.8882 Å, 90.00 90.00 90.00°
Space group F-43m (No. 216)
Inequivalent atoms, fractional coordinates:
Tb  0.0000  0.0000  0.0000
Er  0.0000  0.0000  0.5000
Cu  0.2500  0.2500  0.2500
Rh  0.2500  0.2500  0.7500

Summary:
The volume is 327 Å³ per cell. The calculation puts the relative energy among the computed polymorphs at 19.2 meV/atom. The calculation puts the density of states at the Fermi level at 14.40 states/eV/cell. The formation enthalpy at 0 K is -0.573 eV per atom.

***

## ErThCuRh (PBE)

Data for a relaxed structure of ErThCuRh.

Cell: 4.0931 3.8842 11.2980 Å, 90.00 90.00 90.00°
Space group Amm2 (No. 38)
Inequivalent atoms, fractional coordinates:
Er  0.0000  0.0000  0.0000
Th  0.5000  0.0000  0.2746
Cu  0.5000  0.0000  0.5623
Rh  0.0000  0.0000  0.7357

Summary:
The volume is 180 Å³ per cell. The calculation puts the relative energy among the computed polymorphs at 0.0 meV/atom. The calculation puts the density of states at the Fermi level at 5.17 states/eV/cell. The formation enthalpy at 0 K is -0.611 eV per atom.

***

## ErThCuRh (PBE)

Data for a relaxed structure of ErThCuRh.

Cell: 7.0242 7.0242 7.0242 Å, 90.00 90.00 90.00°
Space group F-43m (No. 216)
Inequivalent atoms, fractional coordinates:
Er  0.0000  0.0000  0.0000
Th  0.0000  0.0000  0.5000
Cu  0.2500  0.2500  0.2500
Rh  0.2500  0.2500  0.7500

Summary:
The volume is 347 Å³ per cell. The calculation puts the relative energy among the computed polymorphs at 102.1 meV/atom. The calculation puts the density of states at the Fermi level at 7.41 states/eV/cell. The formation enthalpy at 0 K is -0.509 eV per atom.

***

## ErTiCuRh (PBE)

Data for a relaxed structure of ErTiCuRh.

Cell: 6.5337 6.5337 6.5337 Å, 90.00 90.00 90.00°
Space group F-43m (No. 216)
Inequivalent atoms, fractional coordinates:
Er  0.0000  0.0000  0.0000
Ti  0.0000  0.0000  0.5000
Cu  0.2500  0.2500  0.7500
Rh  0.2500  0.2500  0.2500

Summary:
The volume is 279 Å³ per cell. The calculation puts the density of states at the Fermi level at 15.82 states/eV/cell. The formation enthalpy at 0 K is -0.396 eV per atom.

***

## Er4ZnCu2Rh (PBE)

Data for a relaxed structure of Er4ZnCu2Rh.

Cell: 4.8812 4.8812 23.9316 Å, 90.00 90.00 120.00°
Space group R-3m (No. 166, hexagonal axes)
Inequivalent atoms, fractional coordinates:
Er  0.0000  0.0000  0.1213
Er  0.0000  0.0000  0.3719
Zn  0.0000  0.0000  0.5000
Cu  0.0000  0.0000  0.2453
Rh  0.0000  0.0000  0.0000

Summary:
The volume is 494 Å³ per cell. The calculation puts the density of states at the Fermi level at 12.81 states/eV/cell. The formation enthalpy at 0 K is -0.477 eV per atom.

***

## Er2Zn5Cu2Rh (PBE)

Data for a relaxed structure of Er2Zn5Cu2Rh.

Cell: 9.1345 9.1345 4.0119 Å, 90.00 90.00 90.00°
Space group P4/mbm (No. 127)
Inequivalent atoms, fractional coordinates:
Er  0.1846  0.3154  0.0000
Zn  0.0000  0.5000  0.5000
Zn  0.0490  0.7997  0.5000
Cu  0.1104  0.6104  0.0000
Rh  0.0000  0.0000  0.0000

Summary:
The volume is 335 Å³ per cell. The calculation puts the density of states at the Fermi level at 11.61 states/eV/cell. The formation enthalpy at 0 K is -0.287 eV per atom.

***

## ErZrCuRh (PBE)

Data for a relaxed structure of ErZrCuRh.

Cell: 6.7129 6.7129 6.7129 Å, 90.00 90.00 90.00°
Space group F-43m (No. 216)
Inequivalent atoms, fractional coordinates:
Er  0.0000  0.0000  0.0000
Zr  0.0000  0.0000  0.5000
Cu  0.2500  0.2500  0.2500
Rh  0.2500  0.2500  0.7500

Summary:
The volume is 303 Å³ per cell. The calculation puts the density of states at the Fermi level at 12.13 states/eV/cell. The formation enthalpy at 0 K is -0.493 eV per atom.

***

## Er8CuRu2 (PBE)

Data for a relaxed structure of Er8CuRu2.

Cell: 8.4221 12.4406 5.7553 Å, 90.00 107.44 90.00°
Space group Cm (No. 8)
Inequivalent atoms, fractional coordinates:
Er  0.0000  0.0000  0.0000
Er  0.0787  0.3681  0.7869
Er  0.1668  0.1317  0.5909
Er  0.2387  0.5000  0.3850
Er  0.3693  0.2238  0.1937
Cu  0.3684  0.0000  0.3413
Ru  0.3735  0.3113  0.6909

Summary:
The volume is 575 Å³ per cell. The calculation puts the relative energy among the computed polymorphs at 55.9 meV/atom. The calculation puts the density of states at the Fermi level at 20.65 states/eV/cell. The formation enthalpy at 0 K is -0.180 eV per atom.

***

## Er7Cu2Ru2 (PBE)

Data for a relaxed structure of Er7Cu2Ru2.

Cell: 7.1579 10.8247 7.0471 Å, 90.00 90.00 90.00°
Space group Cmmm (No. 65)
Inequivalent atoms, fractional coordinates:
Er  0.0000  0.0000  0.0000
Er  0.0000  0.5000  0.2555
Er  0.2500  0.2500  0.2715
Cu  0.1680  0.0000  0.5000
Ru  0.0000  0.3065  0.0000

Summary:
The volume is 546 Å³ per cell. The calculation puts the density of states at the Fermi level at 16.81 states/eV/cell. The formation enthalpy at 0 K is -0.131 eV per atom.

***

## ErCu4Ru (PBE)

Data for a relaxed structure of ErCu4Ru.

Cell: 7.0075 7.0075 7.0075 Å, 90.00 90.00 90.00°
Space group F-43m (No. 216)
Inequivalent atoms, fractional coordinates:
Er  0.0000  0.0000  0.0000
Cu  0.1240  0.1240  0.6240
Ru  0.2500  0.2500  0.2500

Summary:
The volume is 344 Å³ per cell. The calculation puts the density of states at the Fermi level at 16.09 states/eV/cell. The formation enthalpy at 0 K is -0.098 eV per atom.